Entry from Alexandria: RbHfCu2Br8 after structural relaxation (PBE-GGA).

Structure (POSCAR):
```
RbHfCu2Br8
1.0
3.299 1.905 10.623
-3.299 1.905 10.623
0.000 -3.809 10.623
Rb Hf Cu Br
1 1 2 8
direct
0.000 0.000 0.000 Rb
0.500 0.500 0.500 Hf
0.244 0.244 0.244 Cu
0.756 0.756 0.756 Cu
0.146 0.432 0.761 Br
0.239 0.568 0.854 Br
0.318 0.318 0.318 Br
0.432 0.761 0.146 Br
0.568 0.854 0.239 Br
0.682 0.682 0.682 Br
0.761 0.146 0.432 Br
0.854 0.239 0.568 Br
```

Output
Symmetry: R32 (155)
Total magnetization: 1.16 μB/cell



Entry from Alexandria: Tb5Pr2Bi4 after structural relaxation (PBE-GGA).

Structure (POSCAR):
```
Tb5Pr2Bi4
1.0
11.619 -2.406 0.000
11.619 2.406 0.000
-2.206 0.000 6.859
Tb Pr Bi
5 2 4
direct
0.000 0.000 0.000 Tb
0.342 0.342 0.006 Tb
0.389 0.389 0.555 Tb
0.611 0.611 0.445 Tb
0.658 0.658 0.994 Tb
0.221 0.221 0.328 Pr
0.779 0.779 0.672 Pr
0.189 0.189 0.753 Bi
0.472 0.472 0.251 Bi
0.528 0.528 0.749 Bi
0.811 0.811 0.247 Bi
```

Output
Symmetry: C2/m (12)
Total magnetization: 0.00 μB/cell
E_form: -3.9 eV per formula unit



Entry from Alexandria: KTe2Se after structural relaxation (PBE-GGA).

Structure (POSCAR):
```
KTe2Se
1.0
4.434 0.000 0.000
0.000 4.434 0.000
0.000 0.000 6.255
K Te Se
1 2 1
direct
0.000 0.000 0.000 K
0.500 0.500 0.276 Te
0.500 0.500 0.724 Te
0.000 0.000 0.500 Se
```

Output
Symmetry: P4/mmm (123)
Total magnetization: 0.00 μB/cell



Entry from Alexandria: Co2AgRh after structural relaxation (PBE-GGA).

Structure (POSCAR):
```
Co2AgRh
1.0
3.840 0.000 0.000
0.000 3.840 0.000
0.000 0.000 3.709
Co Ag Rh
2 1 1
direct
0.000 0.500 0.000 Co
0.500 0.000 0.000 Co
0.000 0.000 0.500 Ag
0.500 0.500 0.500 Rh
```

Output
Symmetry: P4/mmm (123)
Total magnetization: 4.80 μB/cell
E_form: 1.3 eV per formula unit



Entry from Alexandria: Zn2Pt5Rh2 after structural relaxation (PBE-GGA).

Structure (POSCAR):
```
Zn2Pt5Rh2
1.0
4.695 0.000 0.000
-0.614 4.707 0.000
-1.694 -2.546 6.492
Zn Pt Rh
2 5 2
direct
0.002 0.301 0.122 Zn
0.998 0.699 0.878 Zn
0.004 0.876 0.298 Pt
0.499 0.900 0.794 Pt
0.500 0.500 0.000 Pt
0.501 0.100 0.206 Pt
0.996 0.124 0.702 Pt
0.480 0.304 0.594 Rh
0.520 0.696 0.406 Rh
```

Output
Symmetry: P-1 (2)
Total magnetization: 0.00 μB/cell
E_form: -1.5 eV per formula unit



Entry from Alexandria: KPm2Dy3Te6 after structural relaxation (PBE-GGA).

Structure (POSCAR):
```
KPm2Dy3Te6
1.0
9.791 -2.199 0.000
9.791 2.199 0.000
-2.262 0.000 8.802
K Pm Dy Te
1 2 3 6
direct
0.000 0.000 0.000 K
0.328 0.328 0.652 Pm
0.672 0.672 0.348 Pm
0.000 0.000 0.500 Dy
0.336 0.336 0.176 Dy
0.664 0.664 0.824 Dy
0.162 0.162 0.590 Te
0.174 0.174 0.081 Te
0.499 0.499 0.733 Te
0.501 0.501 0.267 Te
0.826 0.826 0.919 Te
0.838 0.838 0.410 Te
```

Output
Symmetry: C2/m (12)
Total magnetization: 0.00 μB/cell



Entry from Alexandria: CaAcS2 after structural relaxation (PBE-GGA).

Structure (POSCAR):
```
CaAcS2
1.0
2.034 1.174 7.353
-2.034 1.174 7.353
0.000 -2.349 7.353
Ca Ac S
1 1 2
direct
0.000 0.000 0.000 Ca
0.173 0.173 0.173 Ac
0.593 0.593 0.593 S
0.751 0.751 0.751 S
```

Output
Symmetry: R3m (160)
Total magnetization: 0.00 μB/cell



Entry from Alexandria: UFeRh2 after structural relaxation (PBE-GGA).

Structure (POSCAR):
```
UFeRh2
1.0
0.000 3.215 3.215
3.215 0.000 3.215
3.215 3.215 0.000
U Fe Rh
1 1 2
direct
0.000 0.000 0.000 U
0.500 0.500 0.500 Fe
0.250 0.250 0.250 Rh
0.750 0.750 0.750 Rh
```

Output
Symmetry: Fm-3m (225)
Total magnetization: 1.35 μB/cell
E_form: -0.9 eV per formula unit



no.,energy (eV per atom)
1,-3.605
2,-4.743
3,-2.762
4,-5.772
5,-5.435
6,-4.948
7,-5.502
8,-8.844